Here is HfCo2GeO6 after structural relaxation from Alexandria. Energies are from PBE with a Hubbard U.

Total magnetization, μB per atom: 0.595
DFT total energy, eV per atom: -7.381

Lattice parameters (Å, degrees): 5.1730 5.1826 5.5116 62.04 62.29 60.17
Closest atoms and distances in Å follow each position.
Sites, in units of the cell vectors:
Hf1 0.0000 0.0000 0.0000  6 O 2.03-2.17
Co1 0.2100 0.2057 0.3810  6 O 2.06-2.21
Co2 0.7133 0.7152 0.8575  6 O 2.06-2.25
Ge1 0.5032 0.5053 0.4889  6 O 1.89-1.99
O1 0.1409 0.7697 0.6922  1 Ge 1.89, 1 Co 2.08
O2 0.2964 0.6129 0.2108  1 Ge 1.98, 1 Hf 2.03, 1 Co 2.06
O3 0.3954 0.1407 0.6920  1 Ge 1.90, 1 Co 2.07
O4 0.6130 0.8800 0.2092  1 Ge 1.99, 1 Hf 2.04, 2 Co 2.06-2.22
O5 0.7688 0.4004 0.6932  1 Ge 1.89, 1 Co 2.06
O6 0.8782 0.2919 0.2157  1 Ge 1.99, 1 Hf 2.03, 1 Co 2.07